Record 1
PmCdAgBi | PBE | optimized geometry

Cell and atoms, written as POSCAR:
```
PmCdAgBi
1.0
7.489 0.000 0.000
0.000 7.489 0.000
0.000 0.000 7.489
Pm Cd Ag Bi
4 4 4 4
Cartesian
0.000 0.000 0.000
0.000 3.745 3.745
3.745 0.000 3.745
3.745 3.745 0.000
0.000 0.000 3.745
0.000 3.745 0.000
3.745 0.000 0.000
3.745 3.745 3.745
1.872 1.872 5.617
1.872 5.617 1.872
5.617 1.872 1.872
5.617 5.617 5.617
1.872 1.872 1.872
1.872 5.617 5.617
5.617 1.872 5.617
5.617 5.617 1.872
```

Properties
* uncorrected energy: -3.33 eV per atom
* crystal system: cubic
* total moment: 0.00 μB/cell
* symmetry: F-43m (216)

---

Record 2
PuCdAgBi | PBE | optimized geometry

Cell and atoms, written as POSCAR:
```
PuCdAgBi
1.0
7.408 0.000 0.000
0.000 7.408 0.000
0.000 0.000 7.408
Pu Cd Ag Bi
4 4 4 4
Cartesian
0.000 0.000 0.000
0.000 3.704 3.704
3.704 0.000 3.704
3.704 3.704 0.000
0.000 0.000 3.704
0.000 3.704 0.000
3.704 0.000 0.000
3.704 3.704 3.704
1.852 1.852 5.556
1.852 5.556 1.852
5.556 1.852 1.852
5.556 5.556 5.556
1.852 1.852 1.852
1.852 5.556 5.556
5.556 1.852 5.556
5.556 5.556 1.852
```

Properties
* uncorrected energy: -5.54 eV per atom
* crystal system: cubic
* total moment: 23.56 μB/cell
* symmetry: F-43m (216)